A plane-wave DFT calculation with GGA+U was carried out for a geometry-optimized MnF structure.

a b c (Å): 3.6401 3.6401 3.6401
angles (deg): 60.00 60.00 60.00
Atoms (fractional coordinates):
Mn 0.0000 0.0000 0.0000
F 0.2500 0.2500 0.2500

crystal system: cubic
E: -5.959 eV/atom
density of states at the Fermi level: 0.911 states/eV/atom